Below is La4GeSb2I after structural relaxation, with properties calculated at the GGA-PBE level.

Summary:
E_form (uncorrected) ... -1.163 eV/atom
Electronic total energy ... -5.43 eV per atom
SG ... No. 10

Lattice parameters (Å, degrees): 7.8800 4.5825 7.9438 90.00 109.24 90.00
Last column: nearest neighbours and their distance in Å.
Sites, in units of the cell vectors:
La 0.2430 0.0000 0.2334  3 Sb 3.16-3.32, 2 Ge 3.16, 1 I 3.29
La 0.2549 0.5000 0.7701  1 Ge 3.13, 3 Sb 3.16-3.33, 2 I 3.32
La 0.7451 0.5000 0.2299  1 Ge 3.13, 3 Sb 3.16-3.33, 2 I 3.32
La 0.7570 0.0000 0.7666  3 Sb 3.16-3.32, 2 Ge 3.16, 1 I 3.29
Ge 0.0000 0.5000 0.0000  6 La 3.13-3.16
Sb 0.5000 0.0000 0.0000  6 La 3.16
Sb 0.5000 0.5000 0.5000  6 La 3.32-3.33
I 0.0000 0.0000 0.5000  6 La 3.29-3.32



Below is CaAc2ReN4 after structural relaxation, with properties calculated at the GGA-PBE level.

Summary:
E_form (uncorrected) ... -0.595 eV/atom
Electronic total energy ... -7.59 eV per atom
SG ... No. 63

Lattice parameters (Å, degrees): 6.9420 6.9420 12.5029 90.00 90.00 148.98
Last column: nearest neighbours and their distance in Å.
Sites, in units of the cell vectors:
Ca 0.1571 0.8429 0.7500  4 N 2.61
Ca 0.8429 0.1571 0.2500  4 N 2.61
Ac 0.3706 0.6294 0.5299  6 N 2.57-2.85
Ac 0.3706 0.6294 0.9701  6 N 2.57-2.85
Ac 0.6294 0.3706 0.0299  6 N 2.57-2.85
Ac 0.6294 0.3706 0.4701  6 N 2.57-2.85
Re 0.1520 0.8480 0.2500  4 N 1.95-1.98
Re 0.8480 0.1520 0.7500  4 N 1.95-1.98
N 0.0000 0.0000 0.0000  4 Ac 2.57
N 0.0000 0.0000 0.5000  4 Ac 2.57
N 0.2556 0.7444 0.1374  1 Re 1.98
N 0.2556 0.7444 0.3626  1 Re 1.98
N 0.3924 0.6076 0.7500  2 Re 1.95
N 0.6076 0.3924 0.2500  2 Re 1.95
N 0.7444 0.2556 0.6374  1 Re 1.98
N 0.7444 0.2556 0.8626  1 Re 1.98



Below is LaTh2Ge2Rh7 after structural relaxation, with properties calculated at the GGA-PBE level.

Summary:
Electronic total energy ... -7.42 eV per atom
Formation energy ... -0.718 eV/atom
SG ... No. 12

Lattice parameters (Å, degrees): 4.1870 4.1870 13.0636 94.77 94.77 88.71
Last column: nearest neighbours and their distance in Å.
Sites, in units of the cell vectors:
La 0.0000 0.0000 0.0000  12 Rh 2.93-3.02
Th 0.0758 0.0758 0.3498  4 Rh 2.84-3.14, 3 Ge 3.15-3.16
Th 0.9242 0.9242 0.6502  4 Rh 2.84-3.14, 3 Ge 3.15-3.16
Ge 0.4384 0.4384 0.7388  5 Rh 2.42-2.44
Ge 0.5616 0.5616 0.2612  5 Rh 2.42-2.44
Rh 0.0391 0.5396 0.1668  2 Ge 2.42-2.43
Rh 0.3252 0.3252 0.5533  1 Ge 2.44, 1 Rh 2.65
Rh 0.4604 0.9609 0.8332  2 Ge 2.42-2.43
Rh 0.5000 0.5000 0.0000  4 La 2.93-2.99, 8 Rh 3.00-3.02
Rh 0.5396 0.0391 0.1668  2 Ge 2.42-2.43
Rh 0.6748 0.6748 0.4467  1 Ge 2.44, 1 Rh 2.65
Rh 0.9609 0.4604 0.8332  2 Ge 2.42-2.43



Below is ErInTc4 after structural relaxation, with properties calculated at the GGA-PBE level.

Summary:
Electronic total energy ... -8.13 eV per atom
Formation energy ... -0.006 eV/atom
SG ... No. 216

Lattice parameters (Å, degrees): 5.3093 5.3093 5.3093 60.00 60.00 60.00
Last column: nearest neighbours and their distance in Å.
Sites, in units of the cell vectors:
Er 0.0000 0.0000 0.0000  12 Tc 3.11, 4 In 3.25
In 0.7500 0.7500 0.7500  12 Tc 3.11, 4 Er 3.25
Tc 0.3757 0.3757 0.3757  6 Tc 2.64-2.67
Tc 0.3757 0.3757 0.8728  6 Tc 2.64-2.67
Tc 0.3757 0.8728 0.3757  6 Tc 2.64-2.67
Tc 0.8728 0.3757 0.3757  6 Tc 2.64-2.67



Below is YGa2Co3 after structural relaxation, with properties calculated at the GGA-PBE level.

Summary:
ΔE to the lowest computed polymorph ... 0 meV per atom
Electronic total energy ... -6.01 eV per atom
Formation energy ... -0.373 eV/atom
SG ... No. 191

Lattice parameters (Å, degrees): 9.0037 9.0037 3.8150 90.00 90.00 120.00
Last column: nearest neighbours and their distance in Å.
Sites, in units of the cell vectors:
Y 0.0000 0.0000 0.0000  6 Co 2.85
Y 0.3333 0.6667 0.5000  12 Co 3.03-3.22, 6 Ga 3.07
Y 0.6667 0.3333 0.5000  12 Co 3.03-3.22, 6 Ga 3.07
Ga 0.0000 0.3180 0.5000  6 Co 2.41-2.52
Ga 0.0000 0.6820 0.5000  6 Co 2.41-2.52
Ga 0.3180 0.0000 0.5000  6 Co 2.41-2.52
Ga 0.3180 0.3180 0.5000  6 Co 2.41-2.52
Ga 0.6820 0.0000 0.5000  6 Co 2.41-2.52
Ga 0.6820 0.6820 0.5000  6 Co 2.41-2.52
Co 0.0000 0.5000 0.0000  4 Co 2.49, 4 Ga 2.52
Co 0.1824 0.3649 0.0000  4 Ga 2.41, 2 Co 2.49
Co 0.1824 0.8176 0.0000  4 Ga 2.41, 2 Co 2.49
Co 0.3649 0.1824 0.0000  4 Ga 2.41, 2 Co 2.49
Co 0.5000 0.0000 0.0000  4 Co 2.49, 4 Ga 2.52
Co 0.5000 0.5000 0.0000  4 Co 2.49, 4 Ga 2.52
Co 0.6351 0.8176 0.0000  4 Ga 2.41, 2 Co 2.49
Co 0.8176 0.1824 0.0000  4 Ga 2.41, 2 Co 2.49
Co 0.8176 0.6351 0.0000  4 Ga 2.41, 2 Co 2.49



Below is HfCu2B after structural relaxation, with properties calculated at the GGA-PBE level.

Summary:
Electronic total energy ... -5.97 eV per atom
Formation energy ... 0.236 eV/atom
SG ... No. 122

Lattice parameters (Å, degrees): 9.3606 9.3606 9.3606 158.62 158.62 30.41
Last column: nearest neighbours and their distance in Å.
Sites, in units of the cell vectors:
Hf 0.0000 0.0000 0.0000  4 B 2.46, 4 Cu 2.60
Hf 0.7500 0.2500 0.5000  4 B 2.46, 4 Cu 2.60
Cu 0.1496 0.6250 0.0246  4 Cu 2.34-2.58, 2 B 2.54, 2 Hf 2.60
Cu 0.3750 0.3996 0.5246  4 Cu 2.34-2.58, 2 B 2.54, 2 Hf 2.60
Cu 0.6004 0.1250 0.9754  4 Cu 2.34-2.58, 2 B 2.54, 2 Hf 2.60
Cu 0.8750 0.8504 0.4754  4 Cu 2.34-2.58, 2 B 2.54, 2 Hf 2.60
B 0.2500 0.7500 0.5000  4 Hf 2.46, 4 Cu 2.54
B 0.5000 0.5000 0.0000  4 Hf 2.46, 4 Cu 2.54



Below is CuRhW4 after structural relaxation, with properties calculated at the GGA-PBE level.

Summary:
Electronic total energy ... -9.95 eV per atom
Formation energy ... 0.598 eV/atom
SG ... No. 216

Lattice parameters (Å, degrees): 5.2083 5.2083 5.2083 60.00 60.00 60.00
Last column: nearest neighbours and their distance in Å.
Sites, in units of the cell vectors:
Cu 0.0000 0.0000 0.0000  12 W 3.05, 4 Rh 3.19
Rh 0.7500 0.7500 0.7500  12 W 3.06, 4 Cu 3.19
W 0.3738 0.3738 0.3738  6 W 2.58-2.63
W 0.3738 0.3738 0.8785  6 W 2.58-2.63
W 0.3738 0.8785 0.3738  6 W 2.58-2.63
W 0.8785 0.3738 0.3738  6 W 2.58-2.63



Below is Y2Ho2Se3 after structural relaxation, with properties calculated at the GGA-PBE level.

Summary:
E_form (uncorrected) ... -1.474 eV/atom
Electronic total energy ... -6.12 eV per atom
SG ... No. 12

Lattice parameters (Å, degrees): 6.9649 6.9649 6.9187 100.17 100.17 33.11
Last column: nearest neighbours and their distance in Å.
Sites, in units of the cell vectors:
Y 0.1242 0.1242 0.3609  5 Se 2.85-2.87
Y 0.8758 0.8758 0.6391  5 Se 2.85-2.87
Ho 0.3823 0.3823 0.1150  4 Se 2.83-2.86
Ho 0.6177 0.6177 0.8850  4 Se 2.83-2.86
Se 0.2417 0.2417 0.7496  3 Ho 2.85-2.86, 3 Y 2.85-2.87
Se 0.5000 0.5000 0.5000  2 Ho 2.83, 4 Y 2.86
Se 0.7583 0.7583 0.2504  3 Ho 2.85-2.86, 3 Y 2.85-2.87



Please write out number 7 again, unchanged.
Below is CuRhW4 after structural relaxation, with properties calculated at the GGA-PBE level.

Summary:
Electronic total energy ... -9.95 eV per atom
Formation energy ... 0.598 eV/atom
SG ... No. 216

Lattice parameters (Å, degrees): 5.2083 5.2083 5.2083 60.00 60.00 60.00
Last column: nearest neighbours and their distance in Å.
Sites, in units of the cell vectors:
Cu 0.0000 0.0000 0.0000  12 W 3.05, 4 Rh 3.19
Rh 0.7500 0.7500 0.7500  12 W 3.06, 4 Cu 3.19
W 0.3738 0.3738 0.3738  6 W 2.58-2.63
W 0.3738 0.3738 0.8785  6 W 2.58-2.63
W 0.3738 0.8785 0.3738  6 W 2.58-2.63
W 0.8785 0.3738 0.3738  6 W 2.58-2.63



Number 2 is which compound? CaAc2ReN4



What is the electronic total energy in the sixth record? -5.97 eV per atom